[1]
SrY2Rh | GGA-PBE | optimized geometry

Geometry as POSCAR:
```
SrY2Rh
1.0
3.828 0.000 0.000
0.000 2.062 8.256
0.000 -2.062 8.256
Sr Y Rh
1 2 1
direct
0.000 0.000 0.000 Sr
0.000 0.690 0.690 Y
0.500 0.328 0.328 Y
0.500 0.165 0.165 Rh
```

volume = 130 Å³ per cell
space-group type = Amm2 (38)
formation enthalpy at 0 K = -0.30 eV per atom
size of the total moment = 0.00 μB/cell

---

[2]
Ba5PtN | GGA-PBE | optimized geometry

Geometry as POSCAR:
```
Ba5PtN
1.0
6.009 -5.742 0.000
6.009 5.742 0.000
-5.905 0.000 10.386
Ba Pt N
10 2 2
direct
0.116 0.681 0.341 Ba
0.172 0.828 0.750 Ba
0.308 0.359 0.065 Ba
0.319 0.884 0.159 Ba
0.359 0.308 0.565 Ba
0.641 0.692 0.435 Ba
0.681 0.116 0.841 Ba
0.692 0.641 0.935 Ba
0.828 0.172 0.250 Ba
0.884 0.319 0.659 Ba
0.000 0.500 0.500 Pt
0.500 0.000 0.000 Pt
0.355 0.645 0.250 N
0.645 0.355 0.750 N
```

volume = 717 Å³ per cell
space-group type = C2/c (15)
uncorrected formation energy = -0.380 eV/atom
size of the total moment = 0.00 μB/cell

---

[3]
NdDy3Ho | GGA-PBE | optimized geometry

Geometry as POSCAR:
```
NdDy3Ho
1.0
1.815 -8.334 0.000
1.815 8.334 0.000
0.000 0.000 11.617
Nd Dy Ho
2 6 2
direct
0.193 0.807 0.750 Nd
0.807 0.193 0.250 Nd
0.143 0.857 0.250 Dy
0.347 0.653 0.502 Dy
0.347 0.653 0.998 Dy
0.653 0.347 0.002 Dy
0.653 0.347 0.498 Dy
0.857 0.143 0.750 Dy
0.479 0.521 0.250 Ho
0.521 0.479 0.750 Ho
```

volume = 351 Å³ per cell
space-group type = Cmcm (63)
formation enthalpy at 0 K = 0.33 eV per atom
size of the total moment = 0.00 μB/cell

---

[4]
Pr4Y4Tm3 | GGA-PBE | optimized geometry

Geometry as POSCAR:
```
Pr4Y4Tm3
1.0
-1.816 4.683 11.054
1.816 -4.683 11.054
1.816 4.683 -11.054
Pr Y Tm
4 4 3
direct
0.036 0.858 0.178 Pr
0.320 0.142 0.178 Pr
0.680 0.858 0.822 Pr
0.964 0.142 0.822 Pr
0.261 0.761 0.500 Y
0.319 0.000 0.319 Y
0.681 0.000 0.681 Y
0.739 0.239 0.500 Y
0.000 0.500 0.500 Tm
0.393 0.393 0.000 Tm
0.607 0.607 0.000 Tm
```

volume = 376 Å³ per cell
space-group type = Immm (71)
formation enthalpy at 0 K = 0.12 eV per atom
size of the total moment = 0.00 μB/cell

---

[5]
Th2Pa3Ge4 | GGA-PBE | optimized geometry

Geometry as POSCAR:
```
Th2Pa3Ge4
1.0
7.867 0.000 0.000
0.000 7.785 0.000
-2.760 0.000 7.184
Th Pa Ge
4 6 8
direct
0.198 0.181 0.065 Th
0.198 0.319 0.565 Th
0.802 0.681 0.435 Th
0.802 0.819 0.935 Th
0.249 0.672 0.228 Pa
0.249 0.828 0.728 Pa
0.500 0.000 0.500 Pa
0.500 0.500 0.000 Pa
0.751 0.172 0.272 Pa
0.751 0.328 0.772 Pa
0.082 0.536 0.835 Ge
0.082 0.964 0.335 Ge
0.492 0.127 0.875 Ge
0.492 0.373 0.375 Ge
0.508 0.627 0.625 Ge
0.508 0.873 0.125 Ge
0.918 0.036 0.665 Ge
0.918 0.464 0.165 Ge
```

volume = 440 Å³ per cell
space-group type = P2_1/c (14)
formation enthalpy at 0 K = -0.56 eV per atom
size of the total moment = 0.00 μB/cell

---

[6]
ErTeAu | GGA-PBE | optimized geometry

Geometry as POSCAR:
```
ErTeAu
1.0
9.816 0.000 0.000
0.000 9.816 0.000
0.000 0.000 4.006
Er Te Au
4 4 4
direct
0.037 0.676 0.000 Er
0.324 0.037 0.500 Er
0.676 0.963 0.500 Er
0.963 0.324 0.000 Er
0.187 0.451 0.500 Te
0.451 0.813 0.000 Te
0.549 0.187 0.000 Te
0.813 0.549 0.500 Te
0.223 0.760 0.500 Au
0.240 0.223 0.000 Au
0.760 0.777 0.000 Au
0.777 0.240 0.500 Au
```

volume = 386 Å³ per cell
space-group type = P4_2/m (84)
uncorrected formation energy = -0.709 eV/atom
size of the total moment = 0.00 μB/cell

---

[7]
ScCoRu2 | GGA-PBE | optimized geometry

Geometry as POSCAR:
```
ScCoRu2
1.0
1.404 0.811 8.625
-1.404 0.811 8.625
0.000 -1.621 8.625
Sc Co Ru
1 1 2
direct
0.000 0.000 0.000 Sc
0.250 0.250 0.250 Co
0.505 0.505 0.505 Ru
0.757 0.757 0.757 Ru
```

volume = 59 Å³ per cell
space-group type = R3m (160)
formation enthalpy at 0 K = 0.24 eV per atom
size of the total moment = 1.36 μB/cell

---

[8]
BaAg2W | GGA-PBE | optimized geometry

Geometry as POSCAR:
```
BaAg2W
1.0
3.028 0.000 0.000
0.000 4.007 0.000
-0.008 0.000 7.614
Ba Ag W
1 2 1
direct
0.000 0.000 0.000 Ba
0.500 0.500 0.317 Ag
0.500 0.500 0.683 Ag
0.000 0.000 0.500 W
```

volume = 92 Å³ per cell
space-group type = P2/m (10)
formation enthalpy at 0 K = 0.78 eV per atom
size of the total moment = 0.00 μB/cell

---

[9]
BSbI2Br | GGA-PBE | optimized geometry

Geometry as POSCAR:
```
BSbI2Br
1.0
6.062 0.000 0.000
0.000 6.062 0.000
0.000 0.000 5.586
B Sb I Br
1 1 2 1
direct
0.000 0.000 0.000 B
0.500 0.500 0.500 Sb
0.000 0.500 0.500 I
0.500 0.000 0.500 I
0.500 0.500 0.000 Br
```

volume = 205 Å³ per cell
space-group type = P4/mmm (123)
uncorrected formation energy = 0.897 eV/atom
size of the total moment = 0.60 μB/cell

---

[10]
Nd6In2Tc | GGA-PBE | optimized geometry

Geometry as POSCAR:
```
Nd6In2Tc
1.0
4.006 0.000 0.000
0.000 7.639 4.449
0.000 -7.639 4.449
Nd In Tc
6 2 1
direct
0.000 0.000 0.000 Nd
0.000 0.516 0.750 Nd
0.000 0.750 0.516 Nd
0.500 0.145 0.753 Nd
0.500 0.358 0.358 Nd
0.500 0.753 0.145 Nd
0.000 0.085 0.422 In
0.000 0.422 0.085 In
0.500 0.772 0.772 Tc
```

volume = 272 Å³ per cell
space-group type = Amm2 (38)
formation enthalpy at 0 K = -0.21 eV per atom
size of the total moment = 0.00 μB/cell

---

[11]
Na4Bi2O5 | GGA-PBE | optimized geometry

Geometry as POSCAR:
```
Na4Bi2O5
1.0
8.946 0.000 0.000
0.000 6.232 0.000
-7.836 0.000 14.337
Na Bi O
16 8 20
direct
0.070 0.170 0.071 Na
0.070 0.330 0.571 Na
0.234 0.541 0.033 Na
0.234 0.959 0.533 Na
0.314 0.045 0.944 Na
0.314 0.455 0.444 Na
0.400 0.609 0.903 Na
0.400 0.891 0.403 Na
0.600 0.109 0.597 Na
0.600 0.391 0.097 Na
0.686 0.545 0.556 Na
0.686 0.955 0.056 Na
0.766 0.041 0.467 Na
0.766 0.459 0.967 Na
0.930 0.670 0.429 Na
0.930 0.830 0.929 Na
0.057 0.690 0.192 Bi
0.057 0.810 0.692 Bi
0.452 0.561 0.662 Bi
0.452 0.939 0.162 Bi
0.548 0.061 0.838 Bi
0.548 0.439 0.338 Bi
0.943 0.190 0.308 Bi
0.943 0.310 0.808 Bi
0.060 0.593 0.876 O
0.060 0.907 0.376 O
0.145 0.694 0.600 O
0.145 0.806 0.100 O
0.291 0.585 0.305 O
0.291 0.915 0.805 O
0.335 0.204 0.077 O
0.335 0.296 0.577 O
0.467 0.749 0.059 O
0.467 0.751 0.559 O
0.533 0.249 0.441 O
0.533 0.251 0.941 O
0.665 0.704 0.423 O
0.665 0.796 0.923 O
0.709 0.085 0.195 O
0.709 0.415 0.695 O
0.855 0.194 0.900 O
0.855 0.306 0.400 O
0.940 0.093 0.624 O
0.940 0.407 0.124 O
```

volume = 799 Å³ per cell
space-group type = P2_1/c (14)
uncorrected formation energy = -1.345 eV/atom
size of the total moment = 0.00 μB/cell

---

Copy entry 4 word for word.
Pr4Y4Tm3 | GGA-PBE | optimized geometry

Geometry as POSCAR:
```
Pr4Y4Tm3
1.0
-1.816 4.683 11.054
1.816 -4.683 11.054
1.816 4.683 -11.054
Pr Y Tm
4 4 3
direct
0.036 0.858 0.178 Pr
0.320 0.142 0.178 Pr
0.680 0.858 0.822 Pr
0.964 0.142 0.822 Pr
0.261 0.761 0.500 Y
0.319 0.000 0.319 Y
0.681 0.000 0.681 Y
0.739 0.239 0.500 Y
0.000 0.500 0.500 Tm
0.393 0.393 0.000 Tm
0.607 0.607 0.000 Tm
```

volume = 376 Å³ per cell
space-group type = Immm (71)
formation enthalpy at 0 K = 0.12 eV per atom
size of the total moment = 0.00 μB/cell

---

> Which value of volume does entry 9 give?

205 Å³ per cell

---

Please write out number 5 again, unchanged.
Th2Pa3Ge4 | GGA-PBE | optimized geometry

Geometry as POSCAR:
```
Th2Pa3Ge4
1.0
7.867 0.000 0.000
0.000 7.785 0.000
-2.760 0.000 7.184
Th Pa Ge
4 6 8
direct
0.198 0.181 0.065 Th
0.198 0.319 0.565 Th
0.802 0.681 0.435 Th
0.802 0.819 0.935 Th
0.249 0.672 0.228 Pa
0.249 0.828 0.728 Pa
0.500 0.000 0.500 Pa
0.500 0.500 0.000 Pa
0.751 0.172 0.272 Pa
0.751 0.328 0.772 Pa
0.082 0.536 0.835 Ge
0.082 0.964 0.335 Ge
0.492 0.127 0.875 Ge
0.492 0.373 0.375 Ge
0.508 0.627 0.625 Ge
0.508 0.873 0.125 Ge
0.918 0.036 0.665 Ge
0.918 0.464 0.165 Ge
```

volume = 440 Å³ per cell
space-group type = P2_1/c (14)
formation enthalpy at 0 K = -0.56 eV per atom
size of the total moment = 0.00 μB/cell